## Ag2HgSe (PBE-GGA)

Data for a relaxed Ag2HgSe crystal.

The calculation puts the polymorph energy (0 for the lowest one) at 3.80 kcal/mol of atoms. As for the total magnetization: 0.0 μB per formula unit. The calculation puts the uncorrected formation energy at 163.0 meV/atom. As for the final energy: -2.21 eV/atom.

The structure belongs to space group F-43m (No. 216); the cell edges are 6.9140, 6.9140 and 6.9140 Å and the angles 90.00°, 90.00° and 90.00°. The inequivalent atoms are Ag at (0.0000, 0.0000, 0.0000), Ag at (0.2500, 0.2500, 0.2500), Hg at (0.0000, 0.0000, 0.5000) and Se at (0.2500, 0.2500, 0.7500).